Entry 1:
La2PrNdH | GGA-PBE | relaxed

Cell and atoms, written as CIF:
```
data_La2PrNdH
_symmetry_space_group_name_H-M 'P 1'
_symmetry_Int_Tables_number 1
_symmetry_space_group_name_Hall 'P 1'
_cell_length_a 5.236
_cell_length_b 5.258
_cell_length_c 5.258
_cell_angle_alpha 90.00
_cell_angle_beta 90.00
_cell_angle_gamma 90.00
loop_
_atom_site_label
_atom_site_type_symbol
_atom_site_fract_x
_atom_site_fract_y
_atom_site_fract_z
_atom_site_occupancy
Nd1 Nd 0.500 0.000 0.000 1
H1 H 0.000 0.000 0.000 1
Pr1 Pr 0.500 0.500 0.500 1
La1 La 0.000 0.500 0.000 1
La2 La 0.000 0.000 0.500 1
```

Computed properties:
Its calculated total energy is -4.73 eV per atom. The crystal system is tetragonal.

---

Entry 2:
Mn2ReMo2 | GGA-PBE | relaxed

Cell and atoms, written as CIF:
```
data_Mn2ReMo2
_symmetry_space_group_name_H-M 'P 1'
_symmetry_Int_Tables_number 1
_symmetry_space_group_name_Hall 'P 1'
_cell_length_a 6.881
_cell_length_b 6.881
_cell_length_c 2.918
_cell_angle_alpha 90.00
_cell_angle_beta 90.00
_cell_angle_gamma 90.00
loop_
_atom_site_label
_atom_site_type_symbol
_atom_site_fract_x
_atom_site_fract_y
_atom_site_fract_z
_atom_site_occupancy
Mn1 Mn 0.132 0.368 0.000 1
Mn2 Mn 0.632 0.132 0.000 1
Mn3 Mn 0.368 0.868 0.000 1
Mn4 Mn 0.868 0.632 0.000 1
Re1 Re 0.500 0.500 0.000 1
Re2 Re 0.000 0.000 0.000 1
Mo1 Mo 0.829 0.329 0.500 1
Mo2 Mo 0.671 0.829 0.500 1
Mo3 Mo 0.171 0.671 0.500 1
Mo4 Mo 0.329 0.171 0.500 1
```

Computed properties:
The calculation puts the energy of formation at 257 meV/atom. The crystal system is tetragonal.

---

Entry 3:
Er4S | GGA-PBE | relaxed

Cell and atoms, written as CIF:
```
data_Er4S
_symmetry_space_group_name_H-M 'P 1'
_symmetry_Int_Tables_number 1
_symmetry_space_group_name_Hall 'P 1'
_cell_length_a 5.238
_cell_length_b 5.238
_cell_length_c 5.238
_cell_angle_alpha 90.00
_cell_angle_beta 90.00
_cell_angle_gamma 90.00
loop_
_atom_site_label
_atom_site_type_symbol
_atom_site_fract_x
_atom_site_fract_y
_atom_site_fract_z
_atom_site_occupancy
Er1 Er 0.000 0.500 0.500 1
Er2 Er 0.500 0.500 0.000 1
Er3 Er 0.500 0.000 0.500 1
Er4 Er 0.000 0.000 0.000 1
S1 S 0.500 0.500 0.500 1
```

Computed properties:
Its calculated total energy is -5.10 eV per atom. The crystal system is cubic.

---

Entry 4:
BaTlAg2 | GGA-PBE | relaxed

Cell and atoms, written as CIF:
```
data_BaTlAg2
_symmetry_space_group_name_H-M 'P 1'
_symmetry_Int_Tables_number 1
_symmetry_space_group_name_Hall 'P 1'
_cell_length_a 4.915
_cell_length_b 4.915
_cell_length_c 6.459
_cell_angle_alpha 67.36
_cell_angle_beta 67.36
_cell_angle_gamma 60.04
loop_
_atom_site_label
_atom_site_type_symbol
_atom_site_fract_x
_atom_site_fract_y
_atom_site_fract_z
_atom_site_occupancy
Ba1 Ba 0.508 0.508 0.478 1
Ag1 Ag 0.977 0.977 0.067 1
Ag2 Ag 0.303 0.303 0.089 1
Tl1 Tl 0.712 0.712 0.866 1
```

Computed properties:
The value obtained for the energy above the lowest structure with this stoichiometry is 26.9 meV per atom. The calculation puts the energy of formation at -189 meV/atom. The crystal system is monoclinic.

---

Entry 5:
Nd4Mg3Co2 | GGA-PBE | relaxed

Cell and atoms, written as CIF:
```
data_Nd4Mg3Co2
_symmetry_space_group_name_H-M 'P 1'
_symmetry_Int_Tables_number 1
_symmetry_space_group_name_Hall 'P 1'
_cell_length_a 3.875
_cell_length_b 7.572
_cell_length_c 8.329
_cell_angle_alpha 70.37
_cell_angle_beta 90.00
_cell_angle_gamma 90.00
loop_
_atom_site_label
_atom_site_type_symbol
_atom_site_fract_x
_atom_site_fract_y
_atom_site_fract_z
_atom_site_occupancy
Nd1 Nd 0.500 0.603 0.183 1
Nd2 Nd 0.500 0.397 0.817 1
Nd3 Nd 0.500 0.096 0.275 1
Nd4 Nd 0.500 0.904 0.725 1
Co1 Co 0.000 0.353 0.104 1
Co2 Co 0.000 0.647 0.896 1
Mg1 Mg 0.000 0.000 0.000 1
Mg2 Mg 0.000 0.293 0.496 1
Mg3 Mg 0.000 0.707 0.504 1
```

Computed properties:
The calculation puts the energy of formation at -108 meV/atom. The crystal system is monoclinic.

---

Entry 6:
CuRhS2 | GGA-PBE | relaxed

Cell and atoms, written as CIF:
```
data_CuRhS2
_symmetry_space_group_name_H-M 'P 1'
_symmetry_Int_Tables_number 1
_symmetry_space_group_name_Hall 'P 1'
_cell_length_a 5.608
_cell_length_b 7.133
_cell_length_c 3.547
_cell_angle_alpha 80.96
_cell_angle_beta 90.00
_cell_angle_gamma 89.99
loop_
_atom_site_label
_atom_site_type_symbol
_atom_site_fract_x
_atom_site_fract_y
_atom_site_fract_z
_atom_site_occupancy
S1 S 0.838 0.803 0.197 1
S2 S 0.338 0.493 0.488 1
S3 S 0.404 0.070 0.113 1
S4 S 0.904 0.225 0.571 1
Rh1 Rh 0.141 0.322 0.046 1
Rh2 Rh 0.641 0.974 0.638 1
Cu1 Cu 0.738 0.502 0.387 1
Cu2 Cu 0.239 0.794 0.298 1
```

Computed properties:
Its calculated total energy is -5.24 eV per atom. The crystal system is monoclinic.

---

Entry 7:
Tb2YAu | GGA-PBE | relaxed

Cell and atoms, written as CIF:
```
data_Tb2YAu
_symmetry_space_group_name_H-M 'P 1'
_symmetry_Int_Tables_number 1
_symmetry_space_group_name_Hall 'P 1'
_cell_length_a 3.675
_cell_length_b 3.675
_cell_length_c 10.301
_cell_angle_alpha 79.72
_cell_angle_beta 79.72
_cell_angle_gamma 60.00
loop_
_atom_site_label
_atom_site_type_symbol
_atom_site_fract_x
_atom_site_fract_y
_atom_site_fract_z
_atom_site_occupancy
Tb1 Tb 0.263 0.263 0.212 1
Tb2 Tb 0.737 0.737 0.788 1
Y1 Y 0.500 0.500 0.500 1
Au1 Au 0.000 0.000 0.000 1
```

Computed properties:
The value obtained for the energy above the lowest structure with this stoichiometry is 171.6 meV per atom. The calculation puts the energy of formation at -274 meV/atom. The crystal system is trigonal.

---

Entry 8:
DyGePd3 | GGA-PBE | relaxed

Cell and atoms, written as CIF:
```
data_DyGePd3
_symmetry_space_group_name_H-M 'P 1'
_symmetry_Int_Tables_number 1
_symmetry_space_group_name_Hall 'P 1'
_cell_length_a 5.183
_cell_length_b 5.183
_cell_length_c 8.984
_cell_angle_alpha 106.76
_cell_angle_beta 106.76
_cell_angle_gamma 90.00
loop_
_atom_site_label
_atom_site_type_symbol
_atom_site_fract_x
_atom_site_fract_y
_atom_site_fract_z
_atom_site_occupancy
Ge1 Ge 0.000 0.000 0.000 1
Ge2 Ge 0.250 0.750 0.500 1
Pd1 Pd 0.624 0.877 0.754 1
Pd2 Pd 0.716 0.716 0.431 1
Pd3 Pd 0.131 0.877 0.754 1
Pd4 Pd 0.123 0.869 0.246 1
Pd5 Pd 0.284 0.284 0.569 1
Pd6 Pd 0.123 0.376 0.246 1
Dy1 Dy 0.882 0.382 0.764 1
Dy2 Dy 0.618 0.118 0.236 1
```

Computed properties:
The value obtained for the energy above the lowest structure with this stoichiometry is 272.1 meV per atom. The calculation puts the energy of formation at -441 meV/atom. The crystal system is tetragonal.

---

Entry 9:
Ac15Pr4Nd | GGA-PBE | relaxed

Cell and atoms, written as CIF:
```
data_Ac15Pr4Nd
_symmetry_space_group_name_H-M 'P 1'
_symmetry_Int_Tables_number 1
_symmetry_space_group_name_Hall 'P 1'
_cell_length_a 5.553
_cell_length_b 5.553
_cell_length_c 27.692
_cell_angle_alpha 90.00
_cell_angle_beta 90.00
_cell_angle_gamma 90.00
loop_
_atom_site_label
_atom_site_type_symbol
_atom_site_fract_x
_atom_site_fract_y
_atom_site_fract_z
_atom_site_occupancy
Ac1 Ac 0.500 0.500 0.400 1
Ac2 Ac 0.500 0.000 0.700 1
Ac3 Ac 0.000 0.500 0.100 1
Ac4 Ac 0.000 0.500 0.300 1
Ac5 Ac 0.500 0.500 0.200 1
Ac6 Ac 0.500 0.000 0.300 1
Ac7 Ac 0.500 0.500 0.000 1
Ac8 Ac 0.500 0.000 0.500 1
Ac9 Ac 0.500 0.500 0.800 1
Ac10 Ac 0.000 0.500 0.700 1
Ac11 Ac 0.000 0.500 0.900 1
Ac12 Ac 0.500 0.500 0.600 1
Ac13 Ac 0.500 0.000 0.900 1
Ac14 Ac 0.500 0.000 0.100 1
Ac15 Ac 0.000 0.500 0.500 1
Pr1 Pr 0.000 0.000 0.400 1
Pr2 Pr 0.000 0.000 0.800 1
Pr3 Pr 0.000 0.000 0.200 1
Pr4 Pr 0.000 0.000 0.600 1
Nd1 Nd 0.000 0.000 0.000 1
```

Computed properties:
The calculation puts the energy of formation at 22 meV/atom. The crystal system is tetragonal.

---

Entry 10:
BaSrP2Pd2 | GGA-PBE | relaxed

Cell and atoms, written as CIF:
```
data_BaSrP2Pd2
_symmetry_space_group_name_H-M 'P 1'
_symmetry_Int_Tables_number 1
_symmetry_space_group_name_Hall 'P 1'
_cell_length_a 4.204
_cell_length_b 4.204
_cell_length_c 9.247
_cell_angle_alpha 90.00
_cell_angle_beta 90.00
_cell_angle_gamma 120.00
loop_
_atom_site_label
_atom_site_type_symbol
_atom_site_fract_x
_atom_site_fract_y
_atom_site_fract_z
_atom_site_occupancy
Sr1 Sr 0.000 0.000 0.500 1
Pd1 Pd 0.333 0.667 0.738 1
Pd2 Pd 0.667 0.333 0.262 1
P1 P 0.667 0.333 0.740 1
P2 P 0.333 0.667 0.260 1
Ba1 Ba 0.000 0.000 0.000 1
```

Computed properties:
The calculation puts the energy of formation at -960 meV/atom. The crystal system is trigonal.